[1]
VASP calculation (GGA-PBE) on a relaxed structure of LaAgCl.

POSCAR file:
```
LaAgCl
1.0
4.874 0.000 0.000
2.437 4.221 0.000
2.437 1.407 3.980
Ag La Cl
1 1 1
direct
0.500 0.500 0.500
0.000 0.000 0.000
0.750 0.750 0.750
```

Computed properties:
Total energy, eV per atom: -3.884
Raw formation energy, eV per atom: -0.68
M_tot, μB/atom: 0.155
ρ, Mg/m³: 5.72

=====

[2]
VASP calculation (GGA-PBE) on a relaxed structure of Lu2PuHg.

POSCAR file:
```
Lu2PuHg
1.0
3.471 0.000 0.000
1.736 3.006 0.000
1.736 1.002 10.390
Lu Pu Hg
2 1 1
direct
0.256 0.256 0.232
0.744 0.744 0.768
0.500 0.500 0.500
0.000 0.000 0.000
```

Computed properties:
Total energy, eV per atom: -6.004
M_tot, μB/atom: 1.524
ρ, Mg/m³: 12.17

=====

[3]
VASP calculation (GGA-PBE) on a relaxed structure of Er3GaCu.

POSCAR file:
```
Er3GaCu
1.0
6.782 0.000 0.000
0.000 8.237 0.580
0.000 -0.700 8.905
Er Ga Cu
12 4 4
direct
0.730 0.554 0.374
0.270 0.446 0.626
0.230 0.446 0.126
0.013 0.825 0.613
0.999 0.827 0.139
0.987 0.175 0.387
0.513 0.175 0.887
0.499 0.173 0.361
0.001 0.173 0.861
0.501 0.827 0.639
0.487 0.825 0.113
0.770 0.554 0.874
0.279 0.679 0.375
0.779 0.321 0.125
0.221 0.679 0.875
0.721 0.321 0.625
0.231 0.106 0.124
0.269 0.106 0.624
0.731 0.894 0.376
0.769 0.894 0.876
```

Computed properties:
Total energy, eV per atom: -4.403
M_tot, μB/atom: 0.000
ρ, Mg/m³: 8.43

=====

[4]
VASP calculation (GGA-PBE) on a relaxed structure of Ta2AsPt.

POSCAR file:
```
Ta2AsPt
1.0
3.059 0.000 0.000
0.000 3.059 0.000
0.000 0.000 7.077
Pt Ta As
1 2 1
direct
0.500 0.500 0.750
0.000 0.000 0.481
0.000 0.000 0.019
0.500 0.500 0.250
```

Computed properties:
Total energy, eV per atom: -8.922
M_tot, μB/atom: 0.000
ρ, Mg/m³: 15.85

=====

[5]
VASP calculation (GGA-PBE) on a relaxed structure of Nd2Th2Tl7.

POSCAR file:
```
Nd2Th2Tl7
1.0
7.036 -0.003 -0.571
0.004 7.708 0.003
-1.008 -0.003 6.987
Tl Th Nd
7 2 2
direct
0.000 0.000 0.000
0.500 0.302 0.500
0.500 0.698 0.500
0.500 0.296 0.000
0.500 0.704 0.000
0.000 0.296 0.500
0.000 0.704 0.500
0.300 0.000 0.700
0.700 0.000 0.300
0.818 0.500 0.818
0.182 0.500 0.182
```

Computed properties:
Total energy, eV per atom: -3.543
M_tot, μB/atom: 0.000
ρ, Mg/m³: 9.68

=====

[6]
VASP calculation (GGA-PBE) on a relaxed structure of Fe2AgMo.

POSCAR file:
```
Fe2AgMo
1.0
-2.272 -1.420 0.818
-0.185 -1.166 -2.540
4.227 -5.489 2.212
Fe Ag Mo
2 1 1
direct
0.500 0.500 0.233
0.000 0.000 0.039
0.500 0.500 0.767
0.000 0.000 0.460
```

Computed properties:
Total energy, eV per atom: -7.354
M_tot, μB/atom: 1.186
ρ, Mg/m³: 9.18

=====

[7]
VASP calculation (GGA-PBE) on a relaxed structure of TmZr2Al.

POSCAR file:
```
TmZr2Al
1.0
4.213 0.000 0.000
0.000 4.301 -0.848
0.000 -0.124 10.595
Tm Zr Al
2 4 2
direct
0.750 0.691 0.386
0.250 0.309 0.614
0.750 0.442 0.882
0.250 0.558 0.118
0.250 0.945 0.888
0.750 0.055 0.112
0.250 0.156 0.317
0.750 0.844 0.683
```

Computed properties:
Total energy, eV per atom: -6.500
M_tot, μB/atom: 0.000
ρ, Mg/m³: 6.56

=====

[8]
VASP calculation (GGA-PBE) on a relaxed structure of Th6Co3PtRh2.

POSCAR file:
```
Th6Co3PtRh2
1.0
4.018 0.000 0.000
0.000 8.120 0.232
-2.009 -2.401 8.517
Th Pt Co Rh
6 1 3 2
direct
0.998 0.263 0.995
0.672 0.078 0.343
0.002 0.737 0.005
0.665 0.589 0.329
0.335 0.411 0.671
0.328 0.922 0.657
0.500 0.000 0.000
0.500 0.500 0.000
0.834 0.167 0.669
0.166 0.833 0.331
0.166 0.332 0.333
0.834 0.668 0.667
```

Computed properties:
Total energy, eV per atom: -7.846
M_tot, μB/atom: 0.000
ρ, Mg/m³: 11.68